No. 1
A relaxed SmEr3Ir crystal. Source: the Alexandria database, functional GGA-PBE.

```
SmEr3Ir
1.0
7.571 0.000 0.000
0.000 6.524 0.000
0.000 0.000 6.169
Sm Er Ir
2 6 2
Direct
0.000 0.148 0.000 Sm
0.500 0.852 0.500 Sm
0.000 0.846 0.491 Er
0.249 0.316 0.497 Er
0.251 0.684 0.997 Er
0.500 0.154 0.991 Er
0.749 0.684 0.997 Er
0.751 0.316 0.497 Er
0.000 0.506 0.745 Ir
0.500 0.494 0.245 Ir
```

Summary:
- raw total energy (eV per atom) = -5.805
- offset from the most stable computed form (meV/atom) = 0

No. 2
A relaxed SmErIr4 crystal. Source: the Alexandria database, functional GGA-PBE.

```
SmErIr4
1.0
0.000 3.801 3.801
3.801 0.000 3.801
3.801 3.801 0.000
Sm Er Ir
1 1 4
Direct
0.000 0.000 0.000 Sm
0.250 0.250 0.250 Er
0.125 0.625 0.625 Ir
0.625 0.125 0.625 Ir
0.625 0.625 0.125 Ir
0.625 0.625 0.625 Ir
```

Summary:
- raw total energy (eV per atom) = -8.235

No. 3
A relaxed SmEr3Ir8 crystal. Source: the Alexandria database, functional GGA-PBE.

```
SmEr3Ir8
1.0
2.679 1.547 8.744
-2.679 1.547 8.744
0.000 -3.094 8.744
Sm Er Ir
1 3 8
Direct
0.000 0.000 0.000 Sm
0.376 0.376 0.376 Er
0.500 0.500 0.500 Er
0.875 0.875 0.875 Er
0.188 0.188 0.188 Ir
0.437 0.437 0.937 Ir
0.437 0.937 0.437 Ir
0.439 0.938 0.938 Ir
0.688 0.688 0.688 Ir
0.937 0.437 0.437 Ir
0.938 0.439 0.938 Ir
0.938 0.938 0.439 Ir
```

Summary:
- raw total energy (eV per atom) = -8.245

No. 4
A relaxed Sm3ErIr8 crystal. Source: the Alexandria database, functional GGA-PBE.

```
Sm3ErIr8
1.0
2.697 1.557 8.802
-2.697 1.557 8.802
0.000 -3.115 8.802
Sm Er Ir
3 1 8
Direct
0.000 0.000 0.000 Sm
0.125 0.125 0.125 Sm
0.501 0.501 0.501 Sm
0.625 0.625 0.625 Er
0.061 0.563 0.563 Ir
0.063 0.063 0.564 Ir
0.063 0.564 0.063 Ir
0.313 0.313 0.313 Ir
0.563 0.061 0.563 Ir
0.563 0.563 0.061 Ir
0.564 0.063 0.063 Ir
0.813 0.813 0.813 Ir
```

Summary:
- raw total energy (eV per atom) = -8.229

No. 5
A relaxed SmEr3Ir2 crystal. Source: the Alexandria database, functional GGA-PBE.

```
SmEr3Ir2
1.0
7.238 -2.509 0.000
7.238 2.509 0.000
-0.957 0.000 8.053
Sm Er Ir
2 6 4
Direct
0.155 0.155 0.299 Sm
0.845 0.845 0.701 Sm
0.070 0.070 0.824 Er
0.325 0.325 0.984 Er
0.385 0.385 0.438 Er
0.615 0.615 0.562 Er
0.675 0.675 0.016 Er
0.930 0.930 0.176 Er
0.228 0.228 0.656 Ir
0.476 0.476 0.784 Ir
0.524 0.524 0.216 Ir
0.772 0.772 0.344 Ir
```

Summary:
- raw total energy (eV per atom) = -6.622

No. 6
A relaxed Sm2ErIr3 crystal. Source: the Alexandria database, functional GGA-PBE.

```
Sm2ErIr3
1.0
-2.352 2.838 5.107
2.352 -2.838 5.107
2.352 2.838 -5.107
Sm Er Ir
2 1 3
Direct
0.171 0.171 0.000 Sm
0.829 0.829 0.000 Sm
0.500 0.500 0.000 Er
0.000 0.500 0.500 Ir
0.353 0.853 0.500 Ir
0.647 0.147 0.500 Ir
```

Summary:
- raw total energy (eV per atom) = -7.166

No. 7
A relaxed Sm2Er2Ir3 crystal. Source: the Alexandria database, functional GGA-PBE.

```
Sm2Er2Ir3
1.0
4.444 0.000 0.000
-2.221 5.472 0.000
-0.008 -1.212 7.372
Sm Er Ir
2 2 3
Direct
0.137 0.272 0.355 Sm
0.863 0.728 0.645 Sm
0.360 0.719 0.063 Er
0.640 0.281 0.937 Er
0.000 0.000 0.000 Ir
0.188 0.377 0.736 Ir
0.812 0.623 0.264 Ir
```

Summary:
- raw total energy (eV per atom) = -7.086
- offset from the most stable computed form (meV/atom) = 150

No. 8
A relaxed Sm5Er2Ir4 crystal. Source: the Alexandria database, functional GGA-PBE.

```
Sm5Er2Ir4
1.0
10.222 -2.395 0.000
10.222 2.395 0.000
-1.294 0.000 5.897
Sm Er Ir
5 2 4
Direct
0.000 0.000 0.000 Sm
0.286 0.286 0.855 Sm
0.428 0.428 0.286 Sm
0.572 0.572 0.714 Sm
0.714 0.714 0.145 Sm
0.137 0.137 0.428 Er
0.863 0.863 0.572 Er
0.144 0.144 0.935 Ir
0.426 0.426 0.774 Ir
0.574 0.574 0.226 Ir
0.856 0.856 0.065 Ir
```

Summary:
- raw total energy (eV per atom) = -6.787

No. 9
A relaxed Sm2Er2Ir3 crystal. Source: the Alexandria database, functional GGA-PBE.

```
Sm2Er2Ir3
1.0
2.403 1.387 8.070
-2.403 1.387 8.070
0.000 -2.775 8.070
Sm Er Ir
2 2 3
Direct
0.124 0.124 0.124 Sm
0.876 0.876 0.876 Sm
0.374 0.374 0.374 Er
0.626 0.626 0.626 Er
0.000 0.000 0.000 Ir
0.252 0.252 0.252 Ir
0.748 0.748 0.748 Ir
```

Summary:
- raw total energy (eV per atom) = -7.236
- offset from the most stable computed form (meV/atom) = 0

No. 10
A relaxed SmEr3Ir8 crystal. Source: the Alexandria database, functional GGA-PBE.

```
SmEr3Ir8
1.0
5.360 0.000 0.000
-2.680 4.642 0.000
0.000 0.000 8.711
Sm Er Ir
1 3 8
Direct
0.000 0.000 0.000 Sm
0.000 0.000 0.367 Er
0.667 0.333 0.499 Er
0.667 0.333 0.864 Er
0.163 0.327 0.681 Ir
0.163 0.837 0.681 Ir
0.333 0.667 0.432 Ir
0.333 0.667 0.932 Ir
0.503 0.007 0.184 Ir
0.503 0.497 0.184 Ir
0.673 0.837 0.681 Ir
0.993 0.497 0.184 Ir
```

Summary:
- raw total energy (eV per atom) = -8.246

No. 11
A relaxed SmEr4Ir4 crystal. Source: the Alexandria database, functional GGA-PBE.

```
SmEr4Ir4
1.0
8.891 0.000 0.000
0.000 8.891 0.000
0.000 0.000 5.616
Sm Er Ir
2 8 8
Direct
0.250 0.250 0.250 Sm
0.750 0.750 0.750 Sm
0.082 0.656 0.142 Er
0.156 0.918 0.642 Er
0.344 0.582 0.642 Er
0.418 0.844 0.142 Er
0.582 0.156 0.858 Er
0.656 0.418 0.358 Er
0.844 0.082 0.358 Er
0.918 0.344 0.858 Er
0.033 0.616 0.644 Ir
0.116 0.967 0.144 Ir
0.384 0.533 0.144 Ir
0.467 0.884 0.644 Ir
0.533 0.116 0.356 Ir
0.616 0.467 0.856 Ir
0.884 0.033 0.856 Ir
0.967 0.384 0.356 Ir
```

Summary:
- raw total energy (eV per atom) = -7.148

No. 12
A relaxed SmEr3Ir crystal. Source: the Alexandria database, functional GGA-PBE.

```
SmEr3Ir
1.0
5.397 0.000 0.000
0.000 5.397 0.000
0.000 0.000 5.397
Sm Er Ir
1 3 1
Direct
0.000 0.000 0.000 Sm
0.000 0.500 0.500 Er
0.500 0.000 0.500 Er
0.500 0.500 0.000 Er
0.500 0.500 0.500 Ir
```

Summary:
- raw total energy (eV per atom) = -5.759
- offset from the most stable computed form (meV/atom) = 47

No. 13
A relaxed SmErTlIr crystal. Source: the Alexandria database, functional GGA-PBE.

```
SmErTlIr
1.0
0.000 3.628 3.628
3.628 0.000 3.628
3.628 3.628 0.000
Sm Er Tl Ir
1 1 1 1
Direct
0.000 0.000 0.000 Sm
0.500 0.500 0.500 Er
0.750 0.750 0.750 Tl
0.250 0.250 0.250 Ir
```

Summary:
- raw total energy (eV per atom) = -5.576

No. 14
A relaxed SmErZnIr crystal. Source: the Alexandria database, functional GGA-PBE.

```
SmErZnIr
1.0
4.326 0.000 0.000
0.000 1.967 5.360
0.000 -1.967 5.360
Sm Er Zn Ir
1 1 1 1
Direct
0.000 0.000 0.000 Sm
0.500 0.280 0.280 Er
0.500 0.573 0.573 Zn
0.000 0.717 0.717 Ir
```

Summary:
- raw total energy (eV per atom) = -5.443
- offset from the most stable computed form (meV/atom) = 3

No. 15
A relaxed SmErZnIr crystal. Source: the Alexandria database, functional GGA-PBE.

```
SmErZnIr
1.0
0.000 3.508 3.508
3.508 0.000 3.508
3.508 3.508 0.000
Sm Er Zn Ir
1 1 1 1
Direct
0.000 0.000 0.000 Sm
0.500 0.500 0.500 Er
0.250 0.250 0.250 Zn
0.750 0.750 0.750 Ir
```

Summary:
- raw total energy (eV per atom) = -5.447
- offset from the most stable computed form (meV/atom) = 0

No. 16
A relaxed Er3SnIr2 crystal. Source: the Alexandria database, functional GGA-PBE.

```
Er3SnIr2
1.0
3.334 0.000 0.000
0.000 3.334 0.000
0.000 0.000 11.869
Er Sn Ir
3 1 2
Direct
0.000 0.000 0.000 Er
0.000 0.000 0.294 Er
0.000 0.000 0.706 Er
0.500 0.500 0.500 Sn
0.500 0.500 0.152 Ir
0.500 0.500 0.848 Ir
```

Summary:
- raw total energy (eV per atom) = -6.716
- offset from the most stable computed form (meV/atom) = 0

No. 17
A relaxed ErSnIr crystal. Source: the Alexandria database, functional GGA-PBE.

```
ErSnIr
1.0
4.658 0.000 0.000
-2.329 4.034 0.000
0.000 0.000 3.344
Er Sn Ir
1 1 1
Direct
0.000 0.000 0.000 Er
0.667 0.333 0.500 Sn
0.333 0.667 0.500 Ir
```

Summary:
- raw total energy (eV per atom) = -6.476

No. 18
A relaxed Er2Sn5Ir3 crystal. Source: the Alexandria database, functional GGA-PBE.

```
Er2Sn5Ir3
1.0
2.200 -13.284 0.000
2.200 13.284 0.000
0.000 0.000 7.288
Er Sn Ir
4 10 6
Direct
0.024 0.976 0.500 Er
0.329 0.671 0.534 Er
0.671 0.329 0.034 Er
0.976 0.024 0.000 Er
0.098 0.902 0.875 Sn
0.205 0.795 0.320 Sn
0.209 0.791 0.753 Sn
0.380 0.620 0.997 Sn
0.453 0.547 0.662 Sn
0.547 0.453 0.162 Sn
0.620 0.380 0.497 Sn
0.791 0.209 0.253 Sn
0.795 0.205 0.820 Sn
0.902 0.098 0.375 Sn
0.106 0.894 0.248 Ir
0.277 0.723 0.037 Ir
0.451 0.549 0.279 Ir
0.549 0.451 0.779 Ir
0.723 0.277 0.537 Ir
0.894 0.106 0.748 Ir
```

Summary:
- raw total energy (eV per atom) = -6.182

No. 19
A relaxed Er6Sn2Ir crystal. Source: the Alexandria database, functional GGA-PBE.

```
Er6Sn2Ir
1.0
6.700 0.000 0.000
0.000 6.700 0.000
0.000 0.000 13.674
Er Sn Ir
12 4 2
Direct
0.187 0.187 0.147 Er
0.187 0.187 0.853 Er
0.214 0.214 0.500 Er
0.286 0.714 0.000 Er
0.313 0.687 0.353 Er
0.313 0.687 0.647 Er
0.687 0.313 0.353 Er
0.687 0.313 0.647 Er
0.714 0.286 0.000 Er
0.786 0.786 0.500 Er
0.813 0.813 0.147 Er
0.813 0.813 0.853 Er
0.000 0.000 0.330 Sn
0.000 0.000 0.670 Sn
0.500 0.500 0.170 Sn
0.500 0.500 0.830 Sn
0.000 0.000 0.000 Ir
0.500 0.500 0.500 Ir
```

Summary:
- raw total energy (eV per atom) = -5.187

No. 20
A relaxed ErSnIr crystal. Source: the Alexandria database, functional GGA-PBE.

```
ErSnIr
1.0
-1.647 1.647 5.801
1.647 -1.647 5.801
1.647 1.647 -5.801
Er Sn Ir
1 1 1
Direct
0.000 0.000 0.000 Er
0.293 0.293 0.000 Sn
0.653 0.653 0.000 Ir
```

Summary:
- raw total energy (eV per atom) = -6.354